[1]
MgSbRu2Se | PBE | relaxed

It has space group P4/mmm (No. 123), with a = 4.7231 Å, b = 4.7231 Å, c = 4.9973 Å, α = 90.00°, β = 90.00° and γ = 90.00°. The distinct sites, in fractional coordinates, are Mg at (0.0000, 0.0000, 0.0000), Sb at (0.0000, 0.0000, 0.5000), Ru at (0.0000, 0.5000, 0.0000) and Se at (0.5000, 0.5000, 0.5000).

Its density of states at the Fermi level is 6.58 states/eV/cell. For the formation energy from raw total energies, the calculation gives 1487 meV per atom. As for the crystal system: tetragonal. The total energy comes out at -0.29868 Ry per atom.

[2]
Er6AgRh5 | PBE | relaxed

It has space group C2/m (No. 12), with a = 8.3740 Å, b = 14.5686 Å, c = 4.8564 Å, α = 90.00°, β = 125.37° and γ = 90.00°. The distinct sites, in fractional coordinates, are Er at (0.2411, 0.0000, 0.2408), Er at (0.2460, 0.1703, 0.7459), Ag at (0.0000, 0.5000, 0.0000), Rh at (0.0000, 0.0000, 0.5000), Rh at (0.0000, 0.1661, 0.0000) and Rh at (0.0000, 0.3343, 0.5000).

Its density of states at the Fermi level is 13.97 states/eV/cell. The calculation puts the calculated formation energy at -0.83 eV/atom. As for the crystal system: monoclinic. The total energy comes out at -0.47120 Ry per atom.

[3]
TeRuBr2 | PBE | relaxed

It has space group C2/m (No. 12), with a = 15.0315 Å, b = 3.2103 Å, c = 4.9918 Å, α = 90.00°, β = 109.30° and γ = 90.00°. The distinct sites, in fractional coordinates, are Te at (0.0000, 0.0000, 0.0000), Ru at (0.0000, 0.5000, 0.5000) and Br at (0.1431, 0.0000, 0.6425).

Its density of states at the Fermi level is 5.99 states/eV/cell. For the formation energy from raw total energies, the calculation gives 182 meV per atom. As for the crystal system: monoclinic. The total energy comes out at -0.27624 Ry per atom.

Here are the calculated mass density numbers, same order: 6.36 11.18 5.68 (Mg/m³).